DFT (PBE-GGA) results for a relaxed structure of LaTbY3Th.

```
data_LaTbY3Th
_chemical_formula_sum 'La2 Tb2 Y6 Th2'
_symmetry_space_group_name_H-M 'P 1 21/m 1'
_symmetry_Int_Tables_number 11
_symmetry_space_group_name_Hall '-P 2yb'
_cell_length_a 8.056
_cell_length_b 5.104
_cell_length_c 10.233
_cell_angle_alpha 90.00
_cell_angle_beta 108.96
_cell_angle_gamma 90.00
loop_
_atom_site_label
_atom_site_type_symbol
_atom_site_fract_x
_atom_site_fract_y
_atom_site_fract_z
La1 La 0.174 0.250 0.293
Tb1 Tb 0.499 0.250 0.629
Y1 Y 0.171 0.750 0.546
Y2 Y 0.177 0.750 0.042
Y3 Y 0.178 0.250 0.795
Th1 Th 0.500 0.250 0.121
```

Properties
formation energy	0.21	eV/f.u.
magnetic moment	0.0	μB/cell